# PBE CeH2Ir, relaxed
data_CeH2Ir
_chemical_formula_sum 'Ce4 H8 Ir4'
_space_group_name_H-M_alt 'P n m a'
_space_group_IT_number 62
_space_group_name_Hall '-P 2ac 2n'
_cell_length_a 3.589
_cell_length_b 3.439
_cell_length_c 19.072
_cell_angle_alpha 90.00
_cell_angle_beta 90.00
_cell_angle_gamma 90.00
loop_
_atom_site_label
_atom_site_type_symbol
_atom_site_fract_x
_atom_site_fract_y
_atom_site_fract_z
Ce1 Ce 0.248 0.250 0.075
H1 H 0.245 0.750 0.299
H2 H 0.247 0.250 0.195
Ir1 Ir 0.247 0.250 0.317
# spin magnetization	5.19	Bohr magnetons per cell
# excess energy over the best structure of this formula in the dataset	0.541	eV per atom